No. 1
VASP calculation (PBEsol) on an optimized crystal structure of KAl3Tl.

Values from the calculation:
E_form, eV per atom: 0.713
E_tot, eV/atom: -2.494
Total moment, μB/atom: 0.00
Symmetry: Pm-3m (221)

Cell lengths 5.4610, 5.4610, 5.4610 Å; angles 90.00, 90.00, 90.00 degrees
With the nearest neighbours (Å) after each atom.
Sites, in units of the cell vectors:
Al  0.0000  0.0000  0.5000  2 Tl 2.73
Al  0.0000  0.5000  0.0000  2 Tl 2.73
Al  0.5000  0.0000  0.0000  2 Tl 2.73
K  0.5000  0.5000  0.5000  12 Al 3.86
Tl  0.0000  0.0000  0.0000  6 Al 2.73

No. 2
VASP calculation (PBEsol) on an optimized crystal structure of K2AlTl.

Values from the calculation:
E_form, eV per atom: 0.285
E_tot, eV/atom: -1.962
Total moment, μB/atom: 0.00
Energy above the lowest structure with this stoichiometry, kJ per mole of atoms: 18.48
Symmetry: Pmmm (47)

Cell lengths 4.5450, 4.9988, 5.6645 Å; angles 90.00, 90.00, 90.00 degrees
With the nearest neighbours (Å) after each atom.
Sites, in units of the cell vectors:
K  0.0000  0.0000  0.0000  4 K 3.38, 4 Tl 3.63, 4 Al 3.78
Tl  0.5000  0.0000  0.5000  4 Al 3.38, 8 K 3.63-3.78
K  0.5000  0.5000  0.0000  4 K 3.38, 4 Al 3.63, 4 Tl 3.78
Al  0.0000  0.5000  0.5000  4 Tl 3.38, 8 K 3.63-3.78

No. 3
VASP calculation (PBEsol) on an optimized crystal structure of KAl2Tl.

Values from the calculation:
E_form, eV per atom: 0.370
E_tot, eV/atom: -2.617
Total moment, μB/atom: 0.00
Energy above the lowest structure with this stoichiometry, kJ per mole of atoms: 24.27
Symmetry: Immm (71)

Cell lengths 3.7883, 5.1912, 6.1370 Å; angles 115.02, 107.98, 90.00 degrees
With the nearest neighbours (Å) after each atom.
Sites, in units of the cell vectors:
K  0.5000  0.0000  0.0000  4 Tl 3.21, 8 Al 3.41-3.53
Tl  0.0000  0.5000  0.0000  4 Al 3.05, 4 K 3.21
Al  0.2712  0.2712  0.5424  2 Tl 3.05, 4 Al 3.24, 2 K 3.41
Al  0.7288  0.7288  0.4576  2 Tl 3.05, 4 Al 3.24, 2 K 3.41

No. 4
VASP calculation (PBEsol) on an optimized crystal structure of KZrAl2Tl.

Values from the calculation:
E_form, eV per atom: 0.942
E_tot, eV/atom: -3.265
Total moment, μB/atom: 0.06
Symmetry: P4/mmm (123)

Cell lengths 5.2693, 5.2693, 5.8688 Å; angles 90.00, 90.00, 90.00 degrees
With the nearest neighbours (Å) after each atom.
Sites, in units of the cell vectors:
Zr  0.0000  0.0000  0.0000  4 Al 2.63, 2 K 2.93
Tl  0.5000  0.5000  0.5000  4 K 3.73, 8 Al 3.94
Al  0.0000  0.5000  0.0000  2 Zr 2.63
K  0.0000  0.0000  0.5000  2 Zr 2.93
Al  0.5000  0.0000  0.0000  2 Zr 2.63

No. 5
VASP calculation (PBEsol) on an optimized crystal structure of KAl2W.

Values from the calculation:
E_form, eV per atom: 0.578
E_tot, eV/atom: -5.203
Total moment, μB/atom: 0.00
Energy above the lowest structure with this stoichiometry, kJ per mole of atoms: 0.00
Symmetry: Cm (8)

Cell lengths 2.9158, 2.9158, 10.5477 Å; angles 83.35, 83.35, 57.69 degrees
With the nearest neighbours (Å) after each atom.
Sites, in units of the cell vectors:
K  0.4880  0.4880  0.5000  6 K 2.81-2.92
W  0.2780  0.2780  0.2105  3 Al 2.72-2.73, 6 W 2.81-2.92
Al  0.7276  0.7276  0.7851  9 Al 2.81-2.92
Al  0.0066  0.0066  0.0044  3 W 2.72-2.73, 9 Al 2.81-2.92

No. 6
VASP calculation (PBEsol) on an optimized crystal structure of KAl2W.

Values from the calculation:
E_form, eV per atom: 1.307
E_tot, eV/atom: -4.474
Total moment, μB/atom: 0.25
Energy above the lowest structure with this stoichiometry, kJ per mole of atoms: 70.37
Symmetry: F-43m (216)

Cell lengths 4.7312, 4.7312, 4.7312 Å; angles 60.00, 60.00, 60.00 degrees
With the nearest neighbours (Å) after each atom.
Sites, in units of the cell vectors:
K  0.5000  0.5000  0.5000  4 W 2.90, 4 Al 2.90
Al  0.0000  0.0000  0.0000  4 W 2.90, 4 Al 2.90
Al  0.7500  0.7500  0.7500  4 K 2.90, 4 Al 2.90
W  0.2500  0.2500  0.2500  4 K 2.90, 4 Al 2.90

No. 7
VASP calculation (PBEsol) on an optimized crystal structure of KAlW2.

Values from the calculation:
E_form, eV per atom: 1.602
E_tot, eV/atom: -6.608
Total moment, μB/atom: 0.00
Symmetry: I4/mmm (139)

Cell lengths 3.9244, 3.9244, 5.5054 Å; angles 110.88, 110.88, 90.00 degrees
With the nearest neighbours (Å) after each atom.
Sites, in units of the cell vectors:
Al  0.5000  0.5000  0.0000  4 K 2.77, 8 W 3.08
K  0.0000  0.0000  0.0000  4 Al 2.77, 8 W 3.08
W  0.7500  0.2500  0.5000  4 W 2.77, 4 K 3.08, 4 Al 3.08
W  0.2500  0.7500  0.5000  4 W 2.77, 4 K 3.08, 4 Al 3.08

No. 8
VASP calculation (PBEsol) on an optimized crystal structure of KAl2W.

Values from the calculation:
E_form, eV per atom: 0.618
E_tot, eV/atom: -5.163
Total moment, μB/atom: 0.00
Energy above the lowest structure with this stoichiometry, kJ per mole of atoms: 3.86
Symmetry: Pmm2 (25)

Cell lengths 2.7430, 3.8373, 8.3183 Å; angles 90.00, 90.00, 90.00 degrees
With the nearest neighbours (Å) after each atom.
Sites, in units of the cell vectors:
Al  0.5000  0.5000  0.1679  1 W 2.70, 6 Al 2.74-2.80
K  0.0000  0.0000  0.5020  2 K 2.74
W  0.5000  0.5000  0.8428  5 Al 2.65-2.70, 2 W 2.74
Al  0.0000  0.0000  0.9873  4 W 2.65, 6 Al 2.74-2.80

No. 9
VASP calculation (PBEsol) on an optimized crystal structure of KAl2W.

Values from the calculation:
E_form, eV per atom: 0.981
E_tot, eV/atom: -4.800
Total moment, μB/atom: 0.14
Energy above the lowest structure with this stoichiometry, kJ per mole of atoms: 38.91
Symmetry: Immm (71)

Cell lengths 2.6500, 6.1708, 6.5820 Å; angles 117.95, 101.61, 90.00 degrees
With the nearest neighbours (Å) after each atom.
Sites, in units of the cell vectors:
W  0.5000  0.0000  0.0000  2 W 2.65, 4 Al 2.67
Al  0.7949  0.7949  0.5898  2 Al 2.65, 2 W 2.67
K  0.0000  0.5000  0.0000  2 K 2.65
Al  0.2051  0.2051  0.4102  2 Al 2.65, 2 W 2.67

No. 10
VASP calculation (PBEsol) on an optimized crystal structure of KAl2W.

Values from the calculation:
E_form, eV per atom: 0.738
E_tot, eV/atom: -5.043
Total moment, μB/atom: 0.00
Energy above the lowest structure with this stoichiometry, kJ per mole of atoms: 15.46
Symmetry: P4/mmm (123)

Cell lengths 2.7930, 5.0937, 5.0937 Å; angles 90.00, 90.00, 90.00 degrees
With the nearest neighbours (Å) after each atom.
Sites, in units of the cell vectors:
K  0.5000  0.5000  0.5000  2 K 2.79, 8 Al 2.90
Al  0.0000  0.0000  0.5000  2 Al 2.79, 4 W 2.90, 4 K 2.90
W  0.5000  0.0000  0.0000  2 W 2.79, 8 Al 2.90
Al  0.0000  0.5000  0.0000  2 Al 2.79, 4 K 2.90, 4 W 2.90

No. 11
VASP calculation (PBEsol) on an optimized crystal structure of K2YAl.

Values from the calculation:
E_form, eV per atom: 0.548
E_tot, eV/atom: -2.747
Total moment, μB/atom: 0.04
Symmetry: Pmmm (47)

Cell lengths 3.3875, 6.2512, 6.6410 Å; angles 90.00, 90.00, 90.00 degrees
With the nearest neighbours (Å) after each atom.
Sites, in units of the cell vectors:
K  0.0000  0.0000  0.7346  3 K 3.12-3.39
K  0.0000  0.0000  0.2654  3 K 3.12-3.39
Y  0.5000  0.5000  0.0000  2 Al 3.32, 2 Y 3.39
Al  0.5000  0.5000  0.5000  2 Y 3.32, 2 Al 3.39

No. 12
VASP calculation (PBEsol) on an optimized crystal structure of KYAl3.

Values from the calculation:
E_form, eV per atom: 0.783
E_tot, eV/atom: -3.263
Total moment, μB/atom: 0.14
Symmetry: Pm-3m (221)

Cell lengths 5.6259, 5.6259, 5.6259 Å; angles 90.00, 90.00, 90.00 degrees
With the nearest neighbours (Å) after each atom.
Sites, in units of the cell vectors:
Al  0.0000  0.0000  0.5000  2 Y 2.81
Al  0.5000  0.0000  0.0000  2 Y 2.81
K  0.5000  0.5000  0.5000  12 Al 3.98
Y  0.0000  0.0000  0.0000  6 Al 2.81
Al  0.0000  0.5000  0.0000  2 Y 2.81